DFT (GGA-PBE) results for Pr10Ho4Er after structural relaxation.

The structure in POSCAR format:
```
Pr10Ho4Er
1.0
-6.205 6.205 3.931
6.205 -6.205 3.931
6.205 6.205 -3.931
Pr Ho Er
10 4 1
direct
0.050 0.350 0.899
0.151 0.050 0.700
0.250 0.750 0.500
0.350 0.451 0.300
0.451 0.151 0.101
0.549 0.849 0.899
0.650 0.549 0.700
0.750 0.250 0.500
0.849 0.950 0.300
0.950 0.650 0.101
0.100 0.701 0.801
0.299 0.100 0.400
0.701 0.900 0.600
0.900 0.299 0.199
0.500 0.500 0.000
```

## Properties
SG: I4/m (87)
energy of formation from the pure elements: 10.108 eV/f.u.